First-principles (PBE-GGA) data for Rb4TlI6 after structural relaxation, as listed in the Alexandria database.

Geometry as POSCAR:
```
Rb4TlI6
1.0
4.772 0.000 0.000
-2.386 8.989 0.000
0.000 0.000 26.538
Rb I Tl
8 12 2
Direct
0.141 0.282 0.457
0.411 0.822 0.134
0.411 0.822 0.366
0.859 0.718 0.957
0.859 0.718 0.543
0.589 0.178 0.866
0.141 0.282 0.043
0.589 0.178 0.634
0.063 0.127 0.328
0.937 0.873 0.828
0.722 0.445 0.750
0.500 0.000 0.500
0.500 0.000 0.000
0.219 0.439 0.585
0.937 0.873 0.672
0.219 0.439 0.915
0.781 0.561 0.415
0.063 0.127 0.172
0.278 0.555 0.250
0.781 0.561 0.085
0.355 0.709 0.750
0.645 0.291 0.250
```

Calculated values
D(E_F) (states/eV/atom): 1.32
ΔE_f (raw) (kJ/mol of atoms): -107.8

---

First-principles (PBE-GGA) data for K2LiNb6P3O24 after structural relaxation, as listed in the Alexandria database.

Geometry as POSCAR:
```
K2LiNb6P3O24
1.0
-3.861 6.263 -4.359
4.447 -4.229 -5.938
-6.334 -5.362 2.002
O K P Li Nb
24 2 3 1 6
Direct
0.784 0.923 0.678
0.588 0.140 0.710
0.843 0.149 0.002
0.352 0.226 0.550
0.681 0.789 0.924
0.747 0.624 0.446
0.013 0.962 0.486
0.920 0.685 0.788
0.145 0.004 0.840
0.961 0.490 0.019
0.864 0.415 0.288
0.059 0.200 0.307
0.133 0.711 0.586
0.551 0.348 0.227
0.224 0.554 0.353
0.417 0.291 0.866
0.289 0.870 0.423
0.204 0.312 0.064
0.002 0.840 0.150
0.444 0.746 0.630
0.622 0.452 0.747
0.704 0.581 0.132
0.304 0.060 0.198
0.486 0.016 0.958
0.776 0.156 0.462
0.365 0.612 0.957
0.273 0.724 0.500
0.720 0.495 0.273
0.497 0.276 0.722
0.593 0.598 0.591
0.039 0.357 0.160
0.158 0.036 0.357
0.970 0.841 0.653
0.656 0.974 0.843
0.353 0.154 0.034
0.844 0.654 0.974
```

Calculated values
D(E_F) (states/eV/atom): 0.00
ΔE_f (raw) (kJ/mol of atoms): -238.5

---

First-principles (PBE-GGA) data for Ac2CdSi3Au4 after structural relaxation, as listed in the Alexandria database.

Geometry as POSCAR:
```
Ac2CdSi3Au4
1.0
4.501 0.000 0.000
0.000 4.501 0.000
0.000 0.000 10.848
Si Ac Au Cd
3 2 4 1
Direct
0.000 0.000 0.500
0.000 0.500 0.125
0.500 0.000 0.875
0.500 0.000 0.239
0.000 0.500 0.761
0.000 0.000 0.000
0.000 0.500 0.354
0.500 0.500 0.000
0.500 0.000 0.646
0.500 0.500 0.500
```

Calculated values
D(E_F) (states/eV/atom): 0.46
ΔE_f (raw) (kJ/mol of atoms): -54.8

---

First-principles (PBE-GGA) data for PuMgAl2Au2 after structural relaxation, as listed in the Alexandria database.

Geometry as POSCAR:
```
PuMgAl2Au2
1.0
4.482 0.000 0.000
-2.241 3.882 0.000
0.000 0.000 6.951
Au Al Pu Mg
2 2 1 1
Direct
0.333 0.667 0.286
0.667 0.333 0.714
0.667 0.333 0.284
0.333 0.667 0.716
0.000 0.000 0.000
0.000 0.000 0.500
```

Calculated values
D(E_F) (states/eV/atom): 2.40
ΔH_f (0 K) (meV per atom): -453

---

First-principles (PBE-GGA) data for Li3CuPO5 after structural relaxation, as listed in the Alexandria database.

Geometry as POSCAR:
```
Li3CuPO5
1.0
5.000 0.000 0.000
0.000 5.403 0.000
0.000 0.000 15.623
Li O P Cu
12 20 4 4
Direct
0.498 0.329 0.803
0.498 0.829 0.697
0.502 0.830 0.501
0.002 0.170 0.499
0.998 0.671 0.197
0.500 0.845 0.092
0.500 0.345 0.408
0.000 0.655 0.592
0.002 0.670 0.001
0.998 0.171 0.303
0.502 0.330 0.999
0.000 0.155 0.908
0.684 0.672 0.402
0.601 0.101 0.901
0.604 0.163 0.309
0.104 0.337 0.809
0.604 0.663 0.191
0.603 0.185 0.521
0.593 0.697 0.816
0.101 0.399 0.401
0.593 0.197 0.684
0.103 0.315 0.021
0.093 0.803 0.316
0.184 0.828 0.902
0.601 0.601 0.599
0.603 0.685 0.979
0.104 0.837 0.691
0.184 0.328 0.598
0.101 0.899 0.099
0.684 0.172 0.098
0.103 0.815 0.479
0.093 0.303 0.184
0.498 0.830 0.900
0.998 0.170 0.100
0.998 0.670 0.400
0.498 0.330 0.600
0.513 0.340 0.212
0.013 0.160 0.712
0.513 0.840 0.288
0.013 0.660 0.788
```

Calculated values
D(E_F) (states/eV/atom): 0.14
ΔE_f (raw) (kJ/mol of atoms): -187.9

---

First-principles (PBE-GGA) data for In3PPt after structural relaxation, as listed in the Alexandria database.

Geometry as POSCAR:
```
In3PPt
1.0
-0.749 0.148 -5.018
4.877 -1.182 -0.763
-1.191 -4.934 0.032
In Pt P
3 1 1
Direct
0.500 0.000 0.000
0.000 0.500 0.000
0.000 0.000 0.500
0.500 0.500 0.500
0.000 0.000 0.000
```

Calculated values
D(E_F) (states/eV/atom): 0.50
Polymorph energy (0 for the lowest one) (eV per atom): 0.377
ΔH_f (0 K) (meV per atom): 542

---

First-principles (PBE-GGA) data for CaSn4O8 after structural relaxation, as listed in the Alexandria database.

Geometry as POSCAR:
```
CaSn4O8
1.0
1.643 7.650 -0.033
-1.643 7.650 -0.033
0.000 5.978 8.031
O Sn Ca
8 4 1
Direct
0.250 0.250 0.909
0.804 0.804 0.405
0.467 0.467 0.734
0.162 0.162 0.670
0.483 0.483 0.292
0.866 0.866 0.614
0.846 0.846 0.051
0.140 0.140 0.420
0.332 0.332 0.527
0.106 0.106 0.216
0.630 0.630 0.563
0.852 0.852 0.844
0.356 0.356 0.183
```

Calculated values
ΔE_f (raw) (kJ/mol of atoms): -161.8
Polymorph energy (0 for the lowest one) (eV per atom): 0.000

---

First-principles (PBE-GGA) data for TaIn2Cl after structural relaxation, as listed in the Alexandria database.

Geometry as POSCAR:
```
TaIn2Cl
1.0
-0.377 3.981 -3.912
-5.195 1.689 -1.209
2.976 -0.734 4.681
In Cl Ta
2 1 1
Direct
0.500 0.500 0.000
0.000 0.000 0.000
0.750 0.250 0.500
0.250 0.750 0.500
```

Calculated values
D(E_F) (states/eV/atom): 0.70
ΔE_f (raw) (kJ/mol of atoms): 48.8
Polymorph energy (0 for the lowest one) (eV per atom): 0.733

---

First-principles (PBE-GGA) data for Be2Tl2TcO6 after structural relaxation, as listed in the Alexandria database.

Geometry as POSCAR:
```
Be2Tl2TcO6
1.0
-1.714 -5.091 -0.475
0.029 -2.416 -4.821
5.016 -4.476 -0.743
Tl O Be Tc
2 6 2 1
Direct
0.787 0.787 0.639
0.213 0.213 0.361
0.273 0.769 0.189
0.231 0.231 0.811
0.769 0.769 0.189
0.231 0.727 0.811
0.727 0.231 0.811
0.769 0.273 0.189
0.394 0.394 0.819
0.606 0.606 0.181
0.000 0.000 0.000
```

Calculated values
D(E_F) (states/eV/atom): 0.32
ΔE_f (raw) (kJ/mol of atoms): -149.1

---

First-principles (PBE-GGA) data for AcHSO5 after structural relaxation, as listed in the Alexandria database.

Geometry as POSCAR:
```
AcHSO5
1.0
-7.101 1.673 2.434
2.411 -7.282 -0.554
2.146 0.802 4.427
O Ac H S
10 2 2 2
Direct
0.668 0.459 0.500
0.118 0.581 0.797
0.882 0.419 0.203
0.581 0.118 0.297
0.541 0.332 0.000
0.332 0.541 0.500
0.980 0.020 0.750
0.020 0.980 0.250
0.419 0.882 0.703
0.459 0.668 0.000
0.190 0.810 0.250
0.810 0.190 0.750
0.000 0.000 0.000
0.000 0.000 0.500
0.343 0.657 0.750
0.657 0.343 0.250
```

Calculated values
D(E_F) (states/eV/atom): 0.00
E (eV for the cell shown): -102.41

---

First-principles (PBE-GGA) data for TbPr12Tl7 after structural relaxation, as listed in the Alexandria database.

Geometry as POSCAR:
```
TbPr12Tl7
1.0
0.426 -0.032 9.018
8.783 0.070 -2.086
-2.151 8.631 -1.540
Pr Tl Tb
12 7 1
Direct
0.620 0.561 0.873
0.819 0.275 0.679
0.321 0.181 0.725
0.127 0.380 0.439
0.561 0.873 0.620
0.275 0.679 0.819
0.439 0.127 0.380
0.181 0.725 0.321
0.873 0.620 0.561
0.725 0.321 0.181
0.380 0.439 0.127
0.679 0.819 0.275
0.977 0.649 0.965
0.023 0.351 0.035
0.035 0.023 0.351
0.351 0.035 0.023
0.649 0.965 0.977
0.500 0.500 0.500
0.965 0.977 0.649
0.000 0.000 0.000
```

Calculated values
D(E_F) (states/eV/atom): 1.04
ΔH_f (0 K) (meV per atom): -47

---

First-principles (PBE-GGA) data for LiLuSb2 after structural relaxation, as listed in the Alexandria database.

Geometry as POSCAR:
```
LiLuSb2
1.0
3.812 0.000 0.000
1.906 3.301 0.000
1.906 1.100 8.294
Lu Sb Li
1 2 1
Direct
0.500 0.500 0.500
0.253 0.253 0.241
0.747 0.747 0.759
0.000 0.000 0.000
```

Calculated values
D(E_F) (states/eV/atom): 0.52
ΔE_f (raw) (kJ/mol of atoms): -46.1
Polymorph energy (0 for the lowest one) (eV per atom): 0.092

---

First-principles (PBE-GGA) data for La3ZnRu after structural relaxation, as listed in the Alexandria database.

Geometry as POSCAR:
```
La3ZnRu
1.0
-2.935 2.269 4.515
-2.198 -5.998 -2.126
7.530 -1.152 4.361
La Zn Ru
6 2 2
Direct
0.778 0.643 0.330
0.908 0.788 0.759
0.222 0.357 0.670
0.669 0.218 0.887
0.331 0.782 0.113
0.092 0.212 0.241
0.622 0.213 0.485
0.378 0.787 0.515
0.768 0.701 0.034
0.232 0.299 0.966
```

Calculated values
D(E_F) (states/eV/atom): 0.84
Polymorph energy (0 for the lowest one) (eV per atom): 0.000
ΔH_f (0 K) (meV per atom): -268

---

First-principles (PBE-GGA) data for SiBi2F after structural relaxation, as listed in the Alexandria database.

Geometry as POSCAR:
```
SiBi2F
1.0
0.000 3.488 3.488
3.488 0.000 3.488
3.488 3.488 0.000
Si F Bi
1 1 2
Direct
0.500 0.500 0.500
0.000 0.000 0.000
0.250 0.250 0.250
0.750 0.750 0.750
```

Calculated values
D(E_F) (states/eV/atom): 0.32
ΔE_f (raw) (kJ/mol of atoms): -38.6
Polymorph energy (0 for the lowest one) (eV per atom): 0.000

---

First-principles (PBE-GGA) data for Nd2ZnSn4 after structural relaxation, as listed in the Alexandria database.

Geometry as POSCAR:
```
Nd2ZnSn4
1.0
-3.577 2.405 -1.442
-1.741 -0.074 4.198
4.440 7.792 1.979
Nd Sn Zn
2 4 1
Direct
0.500 0.000 0.777
0.000 0.500 0.223
0.500 0.500 0.500
0.000 0.500 0.824
0.500 0.000 0.176
0.000 0.000 0.500
0.500 0.500 0.000
```

Calculated values
D(E_F) (states/eV/atom): 0.60
ΔH_f (0 K) (meV per atom): -462

---

First-principles (PBE-GGA) data for Ti2HS after structural relaxation, as listed in the Alexandria database.

Geometry as POSCAR:
```
Ti2HS
1.0
-2.820 -1.715 0.259
0.715 -0.693 3.194
-4.440 7.703 2.663
S Ti H
2 4 2
Direct
0.201 0.041 0.746
0.701 0.541 0.470
0.701 0.536 0.195
0.701 0.545 0.829
0.201 0.045 0.387
0.201 0.036 0.021
0.201 0.811 0.205
0.701 0.311 0.011
```

Calculated values
D(E_F) (states/eV/atom): 0.64
Polymorph energy (0 for the lowest one) (eV per atom): 0.000

---

First-principles (PBE-GGA) data for Mg2PRu after structural relaxation, as listed in the Alexandria database.

Geometry as POSCAR:
```
Mg2PRu
1.0
4.100 -0.011 -0.009
-2.040 3.556 0.009
-2.043 -1.184 4.605
Mg P Ru
2 1 1
Direct
0.588 0.044 0.632
0.157 0.828 0.985
0.031 0.265 0.296
0.724 0.612 0.337
```

Calculated values
D(E_F) (states/eV/atom): 0.11
ΔH_f (0 K) (meV per atom): -345

---

First-principles (PBE-GGA) data for PuMn2Pb after structural relaxation, as listed in the Alexandria database.

Geometry as POSCAR:
```
PuMn2Pb
1.0
3.631 0.000 0.000
0.000 4.605 0.000
0.000 0.000 4.605
Mn Pu Pb
2 1 1
Direct
0.000 0.000 0.500
0.000 0.500 0.000
0.500 0.000 0.000
0.500 0.500 0.500
```

Calculated values
D(E_F) (states/eV/atom): 1.62
ΔH_f (0 K) (meV per atom): 214

---

First-principles (PBE-GGA) data for Mg2InAs after structural relaxation, as listed in the Alexandria database.

Geometry as POSCAR:
```
Mg2InAs
1.0
5.070 0.000 0.000
2.535 4.391 0.000
2.535 1.464 4.140
In As Mg
1 1 2
Direct
0.250 0.250 0.250
0.500 0.500 0.500
0.000 0.000 0.000
0.750 0.750 0.750
```

Calculated values
D(E_F) (states/eV/atom): 0.32
Polymorph energy (0 for the lowest one) (eV per atom): 0.291
ΔH_f (0 K) (meV per atom): 15

---

First-principles (PBE-GGA) data for PuZrTaN3 after structural relaxation, as listed in the Alexandria database.

Geometry as POSCAR:
```
PuZrTaN3
1.0
-0.550 -2.553 -1.832
5.678 1.416 -3.678
4.317 -4.537 5.029
N Pu Ta Zr
6 2 2 2
Direct
0.250 0.852 0.593
0.250 0.148 0.851
0.750 0.148 0.407
0.750 0.852 0.149
0.250 0.612 0.874
0.750 0.388 0.126
0.750 0.870 0.835
0.250 0.130 0.165
0.250 0.155 0.575
0.750 0.845 0.425
0.250 0.615 0.143
0.750 0.385 0.857
```

Calculated values
D(E_F) (states/eV/atom): 1.40
ΔE_f (raw) (kJ/mol of atoms): -104.8